A plane-wave DFT calculation with GGA-PBE was carried out for a relaxed FeCuW crystal.

a b c (Å): 6.134 6.134 6.134
angles (deg): 155.29 155.29 35.23
Atoms (fractional coordinates):
Fe 0.340 0.340 0.000
Cu 0.994 0.994 0.000
W 0.666 0.666 0.000

Output
energy above the lowest structure with this stoichiometry	50.7	meV/atom

A plane-wave DFT calculation with GGA-PBE was carried out for a relaxed FeCuW2 crystal.

a b c (Å): 2.670 2.670 8.343
angles (deg): 90.00 90.00 106.16
Atoms (fractional coordinates):
Cu 0.000 0.000 0.512
Fe 0.500 0.500 0.742
W 0.500 0.500 0.259
W 0.000 0.000 0.986

Output
energy above the lowest structure with this stoichiometry	0.0	meV/atom

A plane-wave DFT calculation with GGA-PBE was carried out for a relaxed FeCuW2 crystal.

a b c (Å): 4.287 4.287 4.287
angles (deg): 60.00 60.00 60.00
Atoms (fractional coordinates):
W 0.750 0.750 0.750
W 0.250 0.250 0.250
Cu 0.500 0.500 0.500
Fe 0.000 0.000 0.000

Output
energy above the lowest structure with this stoichiometry	218.0	meV/atom

A plane-wave DFT calculation with GGA-PBE was carried out for a relaxed FeCuW2 crystal.

a b c (Å): 4.750 4.750 4.750
angles (deg): 132.96 132.96 68.71
Atoms (fractional coordinates):
Cu 0.500 0.500 0.000
W 0.250 0.750 0.500
Fe 0.750 0.250 0.500
W 0.000 0.000 0.000

Output
energy above the lowest structure with this stoichiometry	136.4	meV/atom

A plane-wave DFT calculation with GGA-PBE was carried out for a relaxed FeCuW2 crystal.

a b c (Å): 3.811 3.815 3.774
angles (deg): 90.00 90.00 90.00
Atoms (fractional coordinates):
W 0.000 0.000 0.000
Fe 0.000 0.500 0.500
Cu 0.500 0.000 0.500
W 0.500 0.500 0.000

Output
energy above the lowest structure with this stoichiometry	55.7	meV/atom

A plane-wave DFT calculation with GGA-PBE was carried out for a relaxed FeCuW crystal.

a b c (Å): 6.412 6.290 2.615
angles (deg): 80.74 75.52 23.74
Atoms (fractional coordinates):
Fe 0.337 0.337 0.663
Cu 0.995 0.995 0.005
W 0.668 0.668 0.332

Output
energy above the lowest structure with this stoichiometry	26.0	meV/atom

A plane-wave DFT calculation with GGA-PBE was carried out for a relaxed FeCuW3 crystal.

a b c (Å): 4.444 4.444 4.444
angles (deg): 90.00 90.00 90.00
Atoms (fractional coordinates):
Fe 0.500 0.500 0.500
Cu 0.000 0.000 0.000
W 0.000 0.500 0.000
W 0.500 0.000 0.000
W 0.000 0.000 0.500

Output
energy above the lowest structure with this stoichiometry	696.1	meV/atom

A plane-wave DFT calculation with GGA-PBE was carried out for a relaxed YFe2Cu crystal.

a b c (Å): 4.486 4.486 4.486
angles (deg): 60.00 60.00 60.00
Atoms (fractional coordinates):
Fe 0.250 0.250 0.250
Fe 0.000 0.000 0.000
Cu 0.500 0.500 0.500
Y 0.750 0.750 0.750

A plane-wave DFT calculation with GGA-PBE was carried out for a relaxed Y2FeCu crystal.

a b c (Å): 4.107 3.989 5.615
angles (deg): 69.25 90.00 90.00
Atoms (fractional coordinates):
Cu 0.000 0.690 0.495
Y 0.000 0.982 0.912
Fe 0.500 0.559 0.756
Y 0.500 0.269 0.337

A plane-wave DFT calculation with GGA-PBE was carried out for a relaxed YFeCu crystal.

a b c (Å): 5.227 5.227 5.227
angles (deg): 121.98 120.19 88.14
Atoms (fractional coordinates):
Y 0.370 0.120 0.250
Fe 0.000 0.500 0.000
Fe 0.000 0.000 0.500
Y 0.630 0.880 0.750
Cu 0.000 0.500 0.500
Cu 0.500 0.500 0.000

A plane-wave DFT calculation with GGA-PBE was carried out for a relaxed YFe2Cu crystal.

a b c (Å): 3.147 3.193 7.147
angles (deg): 63.53 90.00 90.00
Atoms (fractional coordinates):
Y 0.000 0.506 0.493
Cu 0.500 0.700 0.800
Fe 0.500 0.310 0.190
Fe 0.000 0.984 0.016

A plane-wave DFT calculation with GGA-PBE was carried out for a relaxed Y2FeCu crystal.

a b c (Å): 3.374 3.369 7.763
angles (deg): 64.29 90.00 90.00
Atoms (fractional coordinates):
Y 0.000 0.016 0.984
Y 0.000 0.484 0.516
Cu 0.500 0.250 0.250
Fe 0.500 0.750 0.750

| no. | DOS at the Fermi energy (states/eV/f.u.) | E_tot (eV per cell) | energy of formation (kcal/mol of atoms) |
| --- | --- | --- | --- |
| 1 | 2.74 | -24.66 | 6.536 |
| 2 | 3.43 | -37.63 | 4.843 |
| 3 | 4.31 | -36.75 | 9.871 |
| 4 | 4.06 | -37.08 | 7.989 |
| 5 | 3.06 | -37.40 | 6.128 |
| 6 | 1.85 | -24.74 | 5.967 |
| 7 | 11.31 | -40.51 | 50.302 |
| 8 | 3.25 | -26.62 | 4.965 |
| 9 | 4.04 | -25.75 | -1.532 |
| 10 | 3.96 | -38.29 | -0.944 |
| 11 | 3.99 | -26.94 | 3.168 |
| 12 | 2.82 | -25.59 | -0.566 |